Entry 1:
## K2NiW (PBE)

Data for a relaxed structure of K2NiW.

```
K2NiW
1.0
8.299 0.000 0.000
0.000 2.853 0.000
-0.467 0.000 10.273
K Ni W
4 2 2
Direct
0.000 0.000 0.000
0.222 0.000 0.566
0.500 0.500 0.000
0.722 0.500 0.566
0.490 0.000 0.319
0.990 0.500 0.319
0.259 0.500 0.257
0.759 0.000 0.257
```

Calculated values
- relative energy among the computed polymorphs (meV/atom) = 96
- final energy (eV per atom) = -4.30
- formation enthalpy at 0 K (eV per formula unit) = 3.740

Entry 2:
## Ca2ZnPbN (PBE)

Data for a relaxed structure of Ca2ZnPbN.

```
Ca2ZnPbN
1.0
7.307 0.000 0.000
0.000 3.690 0.000
-3.250 0.000 8.487
Ca Zn Pb N
4 2 2 2
Direct
0.163 0.250 0.455
0.233 0.250 0.838
0.767 0.750 0.162
0.837 0.750 0.545
0.471 0.750 0.701
0.529 0.250 0.299
0.232 0.750 0.159
0.768 0.250 0.841
0.187 0.750 0.648
0.813 0.250 0.352
```

Calculated values
- relative energy among the computed polymorphs (meV/atom) = 0
- final energy (eV per atom) = -4.04
- formation energy without anion corrections (meV/atom) = -577

Entry 3:
## Pr2TmSc (PBE)

Data for a relaxed structure of Pr2TmSc.

```
Pr2TmSc
1.0
3.567 0.000 0.000
-1.783 3.089 0.000
0.000 0.000 34.066
Pr Tm Sc
6 3 3
Direct
0.000 0.000 0.247
0.000 0.000 0.753
0.333 0.667 0.419
0.333 0.667 0.914
0.667 0.333 0.086
0.667 0.333 0.581
0.000 0.000 0.000
0.333 0.667 0.667
0.667 0.333 0.333
0.000 0.000 0.500
0.333 0.667 0.167
0.667 0.333 0.833
```

Calculated values
- relative energy among the computed polymorphs (meV/atom) = 11
- final energy (eV per atom) = -5.04
- formation enthalpy at 0 K (eV per formula unit) = 0.200

Entry 4:
## Rb2Sb2Se5 (PBE)

Data for a relaxed structure of Rb2Sb2Se5.

```
Rb2Sb2Se5
1.0
7.457 -2.875 0.000
7.457 2.875 0.000
-2.215 0.000 7.931
Rb Sb Se
2 2 5
Direct
0.103 0.103 0.324
0.897 0.897 0.676
0.346 0.346 0.120
0.654 0.654 0.880
0.170 0.170 0.945
0.351 0.351 0.422
0.500 0.500 0.000
0.649 0.649 0.578
0.830 0.830 0.055
```

Calculated values
- relative energy among the computed polymorphs (meV/atom) = 60
- final energy (eV per atom) = -3.59
- formation energy without anion corrections (meV/atom) = -523

Entry 5:
## HfZrCoAu (PBE)

Data for a relaxed structure of HfZrCoAu.

```
HfZrCoAu
1.0
6.622 0.000 0.000
0.000 6.622 0.000
0.000 0.000 6.622
Hf Zr Co Au
4 4 4 4
Direct
0.000 0.000 0.000
0.000 0.500 0.500
0.500 0.000 0.500
0.500 0.500 0.000
0.000 0.000 0.500
0.000 0.500 0.000
0.500 0.000 0.000
0.500 0.500 0.500
0.250 0.250 0.250
0.250 0.750 0.750
0.750 0.250 0.750
0.750 0.750 0.250
0.250 0.250 0.750
0.250 0.750 0.250
0.750 0.250 0.250
0.750 0.750 0.750
```

Calculated values
- final energy (eV per atom) = -7.52
- formation enthalpy at 0 K (eV per formula unit) = -1.188

Entry 6:
## Sc4CoHg (PBE)

Data for a relaxed structure of Sc4CoHg.

```
Sc4CoHg
1.0
4.421 0.000 0.000
0.000 4.421 0.000
0.000 0.000 7.051
Sc Co Hg
4 1 1
Direct
0.000 0.500 0.210
0.000 0.500 0.790
0.500 0.000 0.210
0.500 0.000 0.790
0.000 0.000 0.000
0.500 0.500 0.500
```

Calculated values
- relative energy among the computed polymorphs (meV/atom) = 203
- final energy (eV per atom) = -5.56
- formation enthalpy at 0 K (eV per formula unit) = -0.632

Entry 7:
## TbTeCl (PBE)

Data for a relaxed structure of TbTeCl.

```
TbTeCl
1.0
4.252 0.000 0.000
-2.126 3.682 0.000
0.000 0.000 6.934
Tb Te Cl
1 1 1
Direct
0.000 0.000 0.000
0.333 0.667 0.753
0.667 0.333 0.214
```

Calculated values
- final energy (eV per atom) = -4.90
- formation energy without anion corrections (meV/atom) = -1699

Entry 8:
## Tc3SbW (PBE)

Data for a relaxed structure of Tc3SbW.

```
Tc3SbW
1.0
4.741 0.000 0.000
0.000 4.741 0.000
0.000 0.000 4.741
Tc Sb W
3 1 1
Direct
0.000 0.000 0.500
0.000 0.500 0.000
0.500 0.000 0.000
0.500 0.500 0.500
0.000 0.000 0.000
```

Calculated values
- relative energy among the computed polymorphs (meV/atom) = 0
- final energy (eV per atom) = -8.04
- formation energy without anion corrections (meV/atom) = 1591

Entry 9:
## FeIrCl2 (PBE)

Data for a relaxed structure of FeIrCl2.

```
FeIrCl2
1.0
4.452 0.000 0.000
0.000 4.452 0.000
0.000 0.000 3.119
Fe Ir Cl
1 1 2
Direct
0.000 0.000 0.000
0.500 0.500 0.000
0.000 0.500 0.500
0.500 0.000 0.500
```

Calculated values
- relative energy among the computed polymorphs (meV/atom) = 940
- final energy (eV per atom) = -4.39
- formation energy without anion corrections (meV/atom) = 868

Entry 10:
## Li7TlSn4 (PBE)

Data for a relaxed structure of Li7TlSn4.

```
Li7TlSn4
1.0
6.695 -2.520 0.000
6.695 2.520 0.000
-6.214 0.000 7.964
Li Tl Sn
7 1 4
Direct
0.000 0.000 0.000
0.149 0.149 0.594
0.281 0.281 0.144
0.445 0.445 0.646
0.555 0.555 0.354
0.719 0.719 0.856
0.851 0.851 0.406
0.500 0.500 0.000
0.072 0.072 0.793
0.195 0.195 0.354
0.805 0.805 0.646
0.928 0.928 0.207
```

Calculated values
- final energy (eV per atom) = -2.90
- formation enthalpy at 0 K (eV per formula unit) = -3.035

Entry 11:
## ScCd2Se (PBE)

Data for a relaxed structure of ScCd2Se.

```
ScCd2Se
1.0
5.552 0.000 0.000
0.000 11.672 0.000
-2.765 0.000 2.845
Sc Cd Se
2 4 2
Direct
0.000 0.000 0.000
0.500 0.500 0.000
0.250 0.250 0.000
0.250 0.750 0.000
0.750 0.250 0.000
0.750 0.750 0.000
0.000 0.500 0.000
0.500 0.000 0.000
```

Calculated values
- final energy (eV per atom) = -3.46
- formation energy without anion corrections (meV/atom) = -544

Entry 12:
## GdTlInCu (PBE)

Data for a relaxed structure of GdTlInCu.

```
GdTlInCu
1.0
7.174 0.000 0.000
0.000 7.174 0.000
0.000 0.000 7.174
Gd Tl In Cu
4 4 4 4
Direct
0.000 0.000 0.000
0.000 0.500 0.500
0.500 0.000 0.500
0.500 0.500 0.000
0.250 0.250 0.250
0.250 0.750 0.750
0.750 0.250 0.750
0.750 0.750 0.250
0.000 0.000 0.500
0.000 0.500 0.000
0.500 0.000 0.000
0.500 0.500 0.500
0.250 0.250 0.750
0.250 0.750 0.250
0.750 0.250 0.250
0.750 0.750 0.750
```

Calculated values
- final energy (eV per atom) = -5.96
- formation enthalpy at 0 K (eV per formula unit) = -0.549

Entry 13:
## SrMn2PI (PBE)

Data for a relaxed structure of SrMn2PI.

```
SrMn2PI
1.0
6.264 0.000 0.000
0.000 6.264 0.000
0.000 0.000 6.103
Sr Mn P I
1 2 1 1
Direct
0.000 0.000 0.000
0.000 0.500 0.000
0.500 0.000 0.000
0.500 0.500 0.500
0.000 0.000 0.500
```

Calculated values
- final energy (eV per atom) = -3.91
- formation energy without anion corrections (meV/atom) = 1489

Entry 14:
## CaPr4Ag5 (PBE)

Data for a relaxed structure of CaPr4Ag5.

```
CaPr4Ag5
1.0
3.734 0.000 0.000
0.000 3.734 0.000
0.000 0.000 19.210
Ca Pr Ag
1 4 5
Direct
0.000 0.000 0.000
0.000 0.000 0.197
0.000 0.000 0.399
0.000 0.000 0.601
0.000 0.000 0.803
0.500 0.500 0.100
0.500 0.500 0.298
0.500 0.500 0.500
0.500 0.500 0.702
0.500 0.500 0.900
```

Calculated values
- final energy (eV per atom) = -3.80
- formation enthalpy at 0 K (eV per formula unit) = -2.593

Entry 15:
## PuCd2Au2 (PBE)

Data for a relaxed structure of PuCd2Au2.

```
PuCd2Au2
1.0
4.175 0.000 0.000
0.000 4.175 0.000
0.000 0.000 13.404
Pu Cd Au
2 4 4
Direct
0.000 0.000 0.000
0.500 0.500 0.500
0.000 0.500 0.250
0.000 0.500 0.750
0.500 0.000 0.250
0.500 0.000 0.750
0.000 0.000 0.398
0.000 0.000 0.602
0.500 0.500 0.102
0.500 0.500 0.898
```

Calculated values
- relative energy among the computed polymorphs (meV/atom) = 0
- final energy (eV per atom) = -4.82
- formation enthalpy at 0 K (eV per formula unit) = -1.365

Entry 16:
## B5C7 (PBE)

Data for a relaxed structure of B5C7.

```
B5C7
1.0
6.580 -1.260 0.000
6.580 1.260 0.000
-0.925 0.000 4.657
B C
5 7
Direct
0.000 0.000 0.000
0.015 0.015 0.350
0.139 0.139 0.153
0.708 0.708 0.399
0.868 0.868 0.160
0.194 0.194 0.863
0.312 0.312 0.935
0.361 0.361 0.662
0.477 0.477 0.786
0.541 0.541 0.567
0.656 0.656 0.685
0.830 0.830 0.473
```

Calculated values
- relative energy among the computed polymorphs (meV/atom) = 65
- final energy (eV per atom) = -7.84
- formation enthalpy at 0 K (eV per formula unit) = 3.878